1.
A relaxed structure of Sm2Ho5Sc2. Source: Alexandria, functional PBE.

Values from the calculation:
Energy relative to the elements   0.041 eV/atom
Excess energy over the best structure of this formula in the dataset   0.0 meV/atom
DOS(E_F)   13.27 states/eV/f.u.
Crystal system   triclinic

Lattice parameters (Å, degrees): 6.035 6.040 9.233 90.06 109.04 119.89
Fractional coordinates of all 9 atoms:
Sm: 0.164 0.335 0.000
Sm: 0.836 0.665 0.000
Ho: 0.061 0.112 0.337
Ho: 0.276 0.557 0.663
Ho: 0.500 0.000 0.000
Ho: 0.724 0.443 0.337
Ho: 0.939 0.888 0.663
Sc: 0.393 0.782 0.339
Sc: 0.607 0.218 0.661

=====

2.
A relaxed structure of Sm2Ho3Sc3. Source: Alexandria, functional PBE.

Values from the calculation:
Energy relative to the elements   0.032 eV/atom
Excess energy over the best structure of this formula in the dataset   0.0 meV/atom
DOS(E_F)   12.36 states/eV/f.u.
Crystal system   monoclinic

Lattice parameters (Å, degrees): 11.643 11.643 5.988 104.66 104.66 17.21
Fractional coordinates of all 8 atoms:
Sm: 0.246 0.246 0.242
Sm: 0.754 0.754 0.758
Ho: 0.000 0.000 0.000
Ho: 0.122 0.122 0.462
Ho: 0.878 0.878 0.538
Sc: 0.378 0.378 0.045
Sc: 0.500 0.500 0.500
Sc: 0.622 0.622 0.955

=====

3.
A relaxed structure of SmHo5Sc2. Source: Alexandria, functional PBE.

Values from the calculation:
Energy relative to the elements   0.029 eV/atom
Excess energy over the best structure of this formula in the dataset   0.0 meV/atom
DOS(E_F)   11.52 states/eV/f.u.
Crystal system   orthorhombic

Lattice parameters (Å, degrees): 11.226 12.061 6.994 90.00 90.00 90.00
Fractional coordinates of all 32 atoms:
Sm: 0.247 0.080 0.000
Sm: 0.253 0.580 0.000
Sm: 0.747 0.420 0.000
Sm: 0.753 0.920 0.000
Ho: 0.000 0.500 0.254
Ho: 0.000 0.500 0.746
Ho: 0.001 0.246 0.500
Ho: 0.001 0.247 0.000
Ho: 0.249 0.833 0.254
Ho: 0.249 0.833 0.746
Ho: 0.251 0.333 0.254
Ho: 0.251 0.333 0.746
Ho: 0.499 0.746 0.500
Ho: 0.499 0.747 0.000
Ho: 0.500 0.000 0.254
Ho: 0.500 0.000 0.746
Ho: 0.501 0.253 0.000
Ho: 0.501 0.254 0.500
Ho: 0.749 0.667 0.254
Ho: 0.749 0.667 0.746
Ho: 0.751 0.167 0.254
Ho: 0.751 0.167 0.746
Ho: 0.999 0.753 0.000
Ho: 0.999 0.754 0.500
Sc: 0.000 0.000 0.256
Sc: 0.000 0.000 0.744
Sc: 0.246 0.084 0.500
Sc: 0.254 0.584 0.500
Sc: 0.500 0.500 0.256
Sc: 0.500 0.500 0.744
Sc: 0.746 0.416 0.500
Sc: 0.754 0.916 0.500